## one
Here is Be2Tc after structural relaxation from Alexandria via LeMat-Bulk. Energies are from PBE.

Lattice parameters (Å, degrees): 6.1300 6.1300 3.2582 90.00 90.00 149.63
Sites, in units of the cell vectors:
1 Be 0.7489 0.2511 0.2500
2 Be 0.2511 0.7489 0.7500
3 Be 0.3838 0.6162 0.2500
4 Be 0.6162 0.3838 0.7500
5 Tc 0.0868 0.9132 0.2500
6 Tc 0.9132 0.0868 0.7500

=====

## two
Here is Be2Tc after structural relaxation from Alexandria via LeMat-Bulk. Energies are from PBE.

Lattice parameters (Å, degrees): 4.5670 4.5670 4.5670 121.29 121.29 87.78
Sites, in units of the cell vectors:
1 Be 0.3193 0.1807 0.5000
2 Be 0.8193 0.3193 0.1385
3 Be 0.1807 0.6807 0.8615
4 Be 0.6807 0.8193 0.5000
5 Tc 0.7500 0.7500 0.0000
6 Tc 0.2500 0.2500 0.0000

=====

## three
Here is Be2Tc after structural relaxation from Alexandria via LeMat-Bulk. Energies are from PBE.

Lattice parameters (Å, degrees): 6.3756 6.3756 6.3756 151.35 151.35 40.96
Sites, in units of the cell vectors:
1 Be 0.1696 0.6696 0.5000
2 Be 0.5804 0.5804 0.0000
3 Be 0.4196 0.4196 0.0000
4 Be 0.3304 0.8304 0.5000
5 Tc 0.7500 0.2500 0.5000
6 Tc 0.0000 0.0000 0.0000

=====

## four
Here is Be2Tc after structural relaxation from Alexandria via LeMat-Bulk. Energies are from PBE.

Lattice parameters (Å, degrees): 6.1232 6.1232 4.0286 90.00 90.00 155.40
Sites, in units of the cell vectors:
1 Tc 0.0824 0.9176 0.7500
2 Tc 0.9176 0.0824 0.2500
3 Be 0.2465 0.7535 0.2500
4 Be 0.4033 0.5967 0.7500
5 Be 0.5967 0.4033 0.2500
6 Be 0.7535 0.2465 0.7500

=====

three wins, 60 meV/atom ahead of the next structure.

=====

## one
Here is Be2Tc after structural relaxation from Alexandria via LeMat-Bulk. Energies are from PBE.

Lattice parameters (Å, degrees): 5.4252 5.4252 3.8698 90.00 90.00 120.00
Site moments in Bohr magnetons follow the coordinates.
Sites, in units of the cell vectors:
1 Be 0.5191 0.5191 0.5000  -0.01
2 Be 0.7802 0.7802 0.0000  0.00
3 Be 0.2198 0.0000 0.0000  0.00
4 Be 0.0000 0.2198 0.0000  0.00
5 Be 0.0000 0.4809 0.5000  -0.01
6 Be 0.4809 0.0000 0.5000  -0.01
7 Tc 0.3333 0.6667 0.0000  0.35
8 Tc 0.0000 0.0000 0.5000  0.21
9 Tc 0.6667 0.3333 0.0000  0.35

=====

## two
Here is Be2Tc after structural relaxation from Alexandria via LeMat-Bulk. Energies are from PBE.

Lattice parameters (Å, degrees): 11.3016 11.3016 11.3016 163.02 163.02 24.10
Sites, in units of the cell vectors:
1 Be 0.2514 0.2514 0.0000
2 Be 0.4115 0.4115 0.0000
3 Be 0.5885 0.5885 0.0000
4 Be 0.9986 0.4986 0.5000
5 Be 0.6615 0.1615 0.5000
6 Be 0.7486 0.7486 0.0000
7 Be 0.5014 0.0014 0.5000
8 Be 0.8385 0.3385 0.5000
9 Tc 0.9273 0.9273 0.0000
10 Tc 0.3227 0.8227 0.5000
11 Tc 0.1773 0.6773 0.5000
12 Tc 0.0727 0.0727 0.0000

=====

## three
Here is Be2Tc after structural relaxation from Alexandria via LeMat-Bulk. Energies are from PBE.

Lattice parameters (Å, degrees): 5.3280 5.3280 5.3280 90.00 90.00 90.00
Site moments in Bohr magnetons follow the coordinates.
Sites, in units of the cell vectors:
1 Be 0.1203 0.8797 0.6203  -0.02
2 Be 0.6203 0.6203 0.3797  -0.02
3 Be 0.8797 0.1203 0.3797  -0.02
4 Be 0.6203 0.8797 0.8797  -0.02
5 Be 0.1203 0.6203 0.1203  -0.02
6 Be 0.8797 0.3797 0.8797  -0.02
7 Be 0.3797 0.3797 0.6203  -0.02
8 Be 0.3797 0.1203 0.1203  -0.02
9 Tc 0.5000 0.5000 0.0000  0.91
10 Tc 0.5000 0.0000 0.5000  0.91
11 Tc 0.0000 0.5000 0.5000  0.91
12 Tc 0.0000 0.0000 0.0000  0.91

=====

## four
Here is Be2Tc after structural relaxation from Alexandria via LeMat-Bulk. Energies are from PBE.

Lattice parameters (Å, degrees): 6.6657 6.6657 3.9641 90.00 90.00 157.37
Sites, in units of the cell vectors:
1 Be 0.0549 0.9451 0.2500
2 Be 0.9451 0.0549 0.7500
3 Be 0.4031 0.5969 0.2500
4 Be 0.5969 0.4031 0.7500
5 Tc 0.7124 0.2876 0.2500
6 Tc 0.2876 0.7124 0.7500

=====

two wins, 464 meV/atom ahead of the next structure.